## CoTcB2 (PBE)

Data for an optimized crystal structure of CoTcB2.

abc: 3.492 3.492 13.648
angles: 90.00 90.00 90.00
Space group I-42d (No. 122)
Inequivalent atoms, fractional coordinates:
Co1 0.000 0.000 0.000
Tc1 0.000 0.000 0.500
B1 0.072 0.250 0.125

## Pr5Dy2HoSc (PBE)

Data for an optimized crystal structure of Pr5Dy2HoSc.

abc: 5.411 21.968 10.311
angles: 90.00 90.00 90.00
Space group Cmc2_1 (No. 36)
Inequivalent atoms, fractional coordinates:
Pr1 0.000 0.000 0.000
Pr2 0.000 0.128 0.250
Pr3 0.000 0.221 0.938
Pr4 0.000 0.222 0.563
Pr5 0.000 0.500 0.250
Dy1 0.000 0.385 0.003
Dy2 0.000 0.385 0.497
Ho1 0.000 0.102 0.750
Sc1 0.000 0.289 0.251

## Nd2Y4Ho5 (PBE)

Data for an optimized crystal structure of Nd2Y4Ho5.

abc: 23.852 3.471 8.750
angles: 90.00 96.38 90.00
Space group C2/m (No. 12)
Inequivalent atoms, fractional coordinates:
Nd1 0.093 0.000 0.246
Y1 0.045 0.000 0.860
Y2 0.178 0.500 0.974
Ho1 0.000 0.500 0.500
Ho2 0.141 0.000 0.622
Ho3 0.234 0.000 0.327

Magnetization, respectively: 0.000, 0.000, 0.000 μB/atom.
DFT formation energy, respectively: 0.459, 0.123, 0.151 eV per atom.